Density functional theory data (SCAN) for a PBEsol-optimized structure of Li2NbBi.

Calculated values
Mass density   6.80 g/cm3
Energy relative to the elements   1.6 eV/f.u.

a b c (Å): 5.5425 5.9572 5.9572
angles (deg): 77.50 62.28 62.28
Closest atoms and distances in Å follow each position.
Positions (direct):
Nb1 0.2500 0.5000 0.5000  2 Bi 2.77, 4 Li 2.77
Nb2 0.5000 0.0000 0.0000  2 Bi 2.77, 4 Li 2.77
Bi1 0.7500 0.5000 0.5000  4 Li 2.68, 2 Nb 2.77
Bi2 0.0000 0.0000 0.0000  4 Li 2.68, 2 Nb 2.77
Li1 0.1156 0.0094 0.5094  2 Bi 2.68, 2 Nb 2.77, 2 Li 2.77
Li2 0.6344 0.9906 0.4906  2 Bi 2.68, 2 Nb 2.77, 2 Li 2.77
Li3 0.3750 0.5094 0.9906  2 Bi 2.68, 2 Nb 2.77, 2 Li 2.77
Li4 0.8750 0.4906 0.0094  2 Bi 2.68, 2 Nb 2.77, 2 Li 2.77



Density functional theory data (SCAN) for a PBEsol-optimized structure of LiNb3Bi.

Calculated values
Mass density   9.14 g/cm3
Energy relative to the elements   4.1 eV/f.u.

a b c (Å): 4.4785 4.4785 4.4785
angles (deg): 90.00 90.00 90.00
Closest atoms and distances in Å follow each position.
Positions (direct):
Nb1 0.0000 0.5000 0.0000  2 Li 2.24
Nb2 0.0000 0.0000 0.5000  2 Li 2.24
Nb3 0.5000 0.0000 0.0000  2 Li 2.24
Bi1 0.5000 0.5000 0.5000  12 Nb 3.17
Li1 0.0000 0.0000 0.0000  6 Nb 2.24



Density functional theory data (SCAN) for a PBEsol-optimized structure of Li2NbBiS.

Calculated values
Mass density   4.18 g/cm3
Raw formation energy   0.900 eV per atom

a b c (Å): 5.0652 5.0652 5.3899
angles (deg): 90.00 90.00 90.00
Closest atoms and distances in Å follow each position.
Positions (direct):
S1 0.5000 0.5000 0.5000  4 Bi 3.58, 8 Li 3.70
Nb1 0.0000 0.0000 0.0000  4 Li 2.53, 2 Bi 2.69
Bi1 0.0000 0.0000 0.5000  2 Nb 2.69
Li1 0.0000 0.5000 0.0000  2 Nb 2.53
Li2 0.5000 0.0000 0.0000  2 Nb 2.53



Density functional theory data (SCAN) for a PBEsol-optimized structure of Li2Ni2BiO6.

Calculated values
Mass density   6.03 g/cm3
Raw formation energy   -1.371 eV per atom

a b c (Å): 5.2753 5.2753 9.9350
angles (deg): 90.00 90.00 119.58
Closest atoms and distances in Å follow each position.
Positions (direct):
Li1 0.9026 0.9026 0.0000  4 O 2.01-2.02
Li2 0.0974 0.0974 0.5000  4 O 2.01-2.02
Li3 0.4054 0.4054 0.0000  4 O 1.97-2.05
Li4 0.5946 0.5946 0.5000  4 O 1.97-2.05
Ni1 0.0892 0.9108 0.7500  6 O 1.98-2.11
Ni2 0.5810 0.4190 0.2500  4 O 1.89-1.90
Ni3 0.9108 0.0892 0.2500  6 O 1.98-2.11
Ni4 0.4190 0.5810 0.7500  4 O 1.89-1.90
Bi1 0.2438 0.7562 0.2500  6 O 2.15-2.20
Bi2 0.7562 0.2438 0.7500  6 O 2.15-2.20
O1 0.4025 0.8777 0.8496  2 Ni 1.89-2.01
O2 0.5975 0.1223 0.3496  2 Ni 1.89-2.01
O3 0.8777 0.4025 0.1504  2 Ni 1.89-2.01
O4 0.1223 0.5975 0.6504  2 Ni 1.89-2.01
O5 0.5923 0.7243 0.1436  2 Ni 1.90-2.11, 2 Li 2.02-2.05
O6 0.7772 0.9045 0.6368  2 Li 1.97-2.01, 2 Ni 1.98-2.14, 1 Bi 2.16
O7 0.0955 0.2228 0.8632  2 Li 1.97-2.01, 2 Ni 1.98-2.14, 1 Bi 2.16
O8 0.2757 0.4077 0.3564  2 Ni 1.90-2.11, 2 Li 2.02-2.05
O9 0.9045 0.7772 0.3632  2 Li 1.97-2.01, 2 Ni 1.98-2.14, 1 Bi 2.16
O10 0.2228 0.0955 0.1368  2 Li 1.97-2.01, 2 Ni 1.98-2.14, 1 Bi 2.16
O11 0.4077 0.2757 0.6436  2 Ni 1.90-2.11, 2 Li 2.02-2.05
O12 0.7243 0.5923 0.8564  2 Ni 1.90-2.11, 2 Li 2.02-2.05



Density functional theory data (SCAN) for a PBEsol-optimized structure of Li4Ni5BiO12.

Calculated values
Mass density   5.59 g/cm3
Raw formation energy   -1.395 eV per atom

a b c (Å): 5.0833 5.0833 9.7511
angles (deg): 95.22 95.22 120.05
Closest atoms and distances in Å follow each position.
Positions (direct):
Li1 0.2484 0.5841 0.7364  6 O 2.07-2.18
Li2 0.4159 0.7516 0.2636  6 O 2.07-2.18
Li3 0.5841 0.2484 0.7364  6 O 2.07-2.18
Li4 0.7516 0.4159 0.2636  6 O 2.07-2.18
Ni1 0.1641 0.8359 0.5000  6 O 1.87-1.99
Ni2 0.6663 0.3337 0.0000  6 O 1.94-1.97
Ni3 0.3337 0.6663 0.0000  6 O 1.94-1.97
Ni4 0.8359 0.1641 0.5000  6 O 1.87-1.99
Ni5 0.5000 0.5000 0.5000  6 O 1.87-2.02
Bi1 0.0000 0.0000 0.0000  6 O 2.15
O1 0.0353 0.6734 0.1141  2 Ni 1.94-1.97, 1 Bi 2.15, 1 Li 2.15
O2 0.3266 0.9647 0.8859  2 Ni 1.94-1.97, 1 Bi 2.15, 1 Li 2.15
O3 0.1275 0.4846 0.3986  3 Ni 1.87-2.02, 2 Li 2.07-2.10
O4 0.4846 0.1275 0.3986  3 Ni 1.87-2.02, 2 Li 2.07-2.10
O5 0.5154 0.8725 0.6014  3 Ni 1.87-2.02, 2 Li 2.07-2.10
O6 0.2119 0.2119 0.5953  3 Ni 1.87-1.94
O7 0.8725 0.5154 0.6014  3 Ni 1.87-2.02, 2 Li 2.07-2.10
O8 0.6734 0.0353 0.1141  2 Ni 1.94-1.97, 1 Bi 2.15, 1 Li 2.15
O9 0.4023 0.4023 0.1158  2 Ni 1.97, 1 Bi 2.15, 2 Li 2.15
O10 0.9647 0.3266 0.8859  2 Ni 1.94-1.97, 1 Bi 2.15, 1 Li 2.15
O11 0.5977 0.5977 0.8842  2 Ni 1.97, 1 Bi 2.15, 2 Li 2.15
O12 0.7881 0.7881 0.4047  3 Ni 1.87-1.94



Density functional theory data (SCAN) for a PBEsol-optimized structure of Li2NiBiO4.

Calculated values
Mass density   6.76 g/cm3
Raw formation energy   -1.427 eV per atom

a b c (Å): 4.3880 4.3880 5.3889
angles (deg): 114.02 114.02 90.00
Closest atoms and distances in Å follow each position.
Positions (direct):
Ni1 0.5000 0.5000 0.0000  2 O 1.90
Bi1 0.2500 0.7500 0.5000  6 O 2.21-2.27
O1 0.7162 0.7162 0.4324  1 Ni 1.90
O2 0.2838 0.2838 0.5676  1 Ni 1.90
O3 0.5080 0.0080 0.0160  3 Li 2.13-2.20, 2 Ni 2.20, 1 Bi 2.27
O4 0.9920 0.4920 0.9840  3 Li 2.13-2.20, 2 Ni 2.20, 1 Bi 2.27
Li1 0.0000 0.0000 0.0000  4 O 2.20
Li2 0.7500 0.2500 0.5000  6 O 2.13-2.21



Density functional theory data (SCAN) for a PBEsol-optimized structure of Li2BiO3.

Calculated values
Relative energy among the computed polymorphs   4.8 meV per atom
Mass density   6.65 g/cm3
Raw formation energy   -1.532 eV per atom

a b c (Å): 5.4753 5.4753 5.5524
angles (deg): 99.47 99.47 120.46
Closest atoms and distances in Å follow each position.
Positions (direct):
Bi1 0.9166 0.1007 0.5087  6 O 2.19-2.26
Bi2 0.1007 0.9166 0.0087  6 O 2.19-2.26
O1 0.8423 0.6870 0.2666  4 Li 2.19-2.34, 2 Bi 2.23-2.26
O2 0.6870 0.8423 0.7666  4 Li 2.19-2.34, 2 Bi 2.23-2.26
O3 0.5084 0.0081 0.2587  2 Bi 2.19, 4 Li 2.24-2.29
O4 0.1754 0.3305 0.2513  4 Li 2.19-2.33, 2 Bi 2.23-2.25
O5 0.0081 0.5084 0.7587  2 Bi 2.19, 4 Li 2.24-2.29
O6 0.3305 0.1754 0.7513  4 Li 2.19-2.33, 2 Bi 2.23-2.25
Li1 0.2545 0.7615 0.5079  6 O 2.22-2.34
Li2 0.5849 0.4325 0.5090  6 O 2.19-2.29
Li3 0.4325 0.5849 0.0090  6 O 2.19-2.29
Li4 0.7615 0.2545 0.0079  6 O 2.22-2.34



Density functional theory data (SCAN) for a PBEsol-optimized structure of Li3BiO.

Calculated values
Mass density   5.96 g/cm3
Raw formation energy   -1.046 eV per atom

a b c (Å): 4.0905 4.0905 4.0905
angles (deg): 90.00 90.00 90.00
Closest atoms and distances in Å follow each position.
Positions (direct):
Bi1 0.5000 0.5000 0.5000  12 Li 2.89
O1 0.0000 0.0000 0.0000  6 Li 2.05
Li1 0.0000 0.5000 0.0000  2 O 2.05
Li2 0.0000 0.0000 0.5000  2 O 2.05
Li3 0.5000 0.0000 0.0000  2 O 2.05